Record 1
A relaxed structure of Na2BiAs. Source: Alexandria, functional PBE.

a = 6.775 Å, b = 6.578 Å, c = 9.501 Å
α = 90.00°, β = 90.00°, γ = 90.00°
Atoms (fractional coordinates):
Bi 0.450 0.492 0.750
Na 0.791 0.292 0.530
Na 0.709 0.792 0.530
As 0.478 0.051 0.750
Na 0.291 0.208 0.030
Bi 0.050 0.992 0.750
As 0.522 0.949 0.250
Na 0.709 0.792 0.970
Bi 0.550 0.508 0.250
Na 0.291 0.208 0.470
As 0.978 0.449 0.250
Bi 0.950 0.008 0.250
Na 0.209 0.708 0.470
As 0.022 0.551 0.750
Na 0.791 0.292 0.970
Na 0.209 0.708 0.030

Calculated values
The value obtained for the formation energy is -282 meV per atom. The space-group type is Pnma, No. 62.

***

Record 2
A relaxed structure of Na2BiAs. Source: Alexandria, functional PBE.

a = 5.211 Å, b = 5.211 Å, c = 5.211 Å
α = 60.00°, β = 60.00°, γ = 60.00°
Atoms (fractional coordinates):
As 0.000 0.000 0.000
Na 0.750 0.750 0.750
Bi 0.500 0.500 0.500
Na 0.250 0.250 0.250

Calculated values
The value obtained for the formation energy is -137 meV per atom. The space-group type is Fm-3m, No. 225.

***

Record 3
A relaxed structure of NaBiAs2. Source: Alexandria, functional PBE.

a = 7.077 Å, b = 7.077 Å, c = 7.362 Å
α = 61.27°, β = 61.27°, γ = 90.00°
Atoms (fractional coordinates):
Na 0.250 0.750 0.500
Bi 0.750 0.250 0.500
As 0.375 0.347 0.750
As 0.653 0.125 0.250
Na 0.500 0.500 0.000
As 0.875 0.903 0.750
As 0.097 0.625 0.250
Bi 0.000 0.000 0.000

Calculated values
The value obtained for the formation energy is 90 meV per atom. The space-group type is I-42d, No. 122.

***

Record 4
A relaxed structure of Na2BiAs. Source: Alexandria, functional PBE.

a = 8.847 Å, b = 8.847 Å, c = 6.903 Å
α = 50.15°, β = 50.15°, γ = 90.00°
Atoms (fractional coordinates):
As 0.500 0.500 0.000
Na 0.375 0.427 0.750
Na 0.875 0.823 0.750
Na 0.177 0.625 0.250
Bi 0.000 0.000 0.000
As 0.250 0.750 0.500
Na 0.573 0.125 0.250
Bi 0.750 0.250 0.500

Calculated values
The value obtained for the formation energy is -59 meV per atom. The space-group type is I-42d, No. 122.

***

Record 5
A relaxed structure of NaBiAs. Source: Alexandria, functional PBE.

a = 3.935 Å, b = 3.935 Å, c = 6.109 Å
α = 108.79°, β = 108.79°, γ = 90.00°
Atoms (fractional coordinates):
Na 0.003 0.003 0.006
Bi 0.297 0.297 0.595
As 0.700 0.700 0.400

Calculated values
The value obtained for the formation energy is -125 meV per atom. The space-group type is I4mm, No. 107.

***

Record 6
A relaxed structure of Na6BiAs2. Source: Alexandria, functional PBE.

a = 3.463 Å, b = 8.819 Å, c = 8.818 Å
α = 120.02°, β = 89.90°, γ = 89.90°
Atoms (fractional coordinates):
Na 0.763 0.653 0.000
Na 0.236 0.653 0.653
Na 0.237 0.000 0.347
Na 0.237 0.347 0.000
As 0.500 0.333 0.667
Bi 0.000 0.000 0.000
As 0.500 0.667 0.333
Na 0.763 0.000 0.653
Na 0.764 0.347 0.347

Calculated values
The value obtained for the formation energy is -266 meV per atom. The space-group type is C2/m, No. 12.